Density functional theory data (GGA-PBE) for HgSF2 after structural relaxation.

Unit cell a=7.0540 b=7.0540 c=5.5292 alpha=90.00 beta=90.00 gamma=90.00
With the nearest neighbours (Å) after each atom.
Space group I-42d (No. 122)
Symmetry-distinct sites (fractional):
Hg1 0.0000 0.0000 0.0000 x4  4 F 2.34
S1 0.0000 0.0000 0.5000 x4  2 Hg 2.76, 8 F 2.86-3.05
F1 0.1958 0.7500 0.1250 x8  2 Hg 2.34

Results
- formation energy from raw total energies (kJ/mol of formula units) = -146
- Fermi-level density of states (states/eV/f.u.) = 0.67
- distance to the lowest polymorph of the same formula (kJ/mol of atoms) = 56.2
- VASP energy (eV for the cell shown) = -38.74